This record from Alexandria via LeMat-Bulk describes MoWC2 after structural relaxation. The functional is PBE.

Summary:
The calculation puts the total DFT energy (no corrections) at -9.8228 eV/atom. The calculation puts the calculated formation energy at 735.2 meV/atom. The value obtained for the density is 10.756 g/cm3.

a b c (Å): 5.1456 4.2604 3.0205
angles (deg): 68.56 91.04 127.61
Fractional positions:
1 Mo 0.0000 0.5000 0.5000
2 C 0.0000 0.0000 0.0000
3 C 0.5000 0.0000 0.5000
4 W 0.5000 0.5000 0.0000

=====

This record from Alexandria via LeMat-Bulk describes Mo2WC after structural relaxation. The functional is PBE.

Summary:
The calculation puts the total DFT energy (no corrections) at -10.5659 eV/atom. The calculation puts the calculated formation energy at 394.0 meV/atom. The value obtained for the density is 11.846 g/cm3.

a b c (Å): 2.8052 2.8052 7.5227
angles (deg): 90.00 90.00 113.34
Fractional positions:
1 Mo 0.0000 0.0000 0.9453
2 Mo 0.5000 0.5000 0.2502
3 C 0.5000 0.5000 0.7499
4 W 0.0000 0.0000 0.5544

=====

This record from Alexandria via LeMat-Bulk describes Mo2WC after structural relaxation. The functional is PBE.

Summary:
The calculation puts the total DFT energy (no corrections) at -10.5276 eV/atom. The calculation puts the calculated formation energy at 432.2 meV/atom. The value obtained for the density is 11.680 g/cm3.

a b c (Å): 4.7917 4.7917 4.7917
angles (deg): 143.87 120.09 72.00
Fractional positions:
1 Mo 0.0581 0.0581 0.0000
2 Mo 0.7485 0.2485 0.5000
3 C 0.2512 0.7512 0.5000
4 W 0.4421 0.4421 0.0000

=====

This record from Alexandria via LeMat-Bulk describes MoWC2 after structural relaxation. The functional is PBE.

Summary:
The calculation puts the total DFT energy (no corrections) at -9.8276 eV/atom. The calculation puts the calculated formation energy at 730.4 meV/atom. The value obtained for the density is 10.691 g/cm3.

a b c (Å): 4.2791 4.2791 4.2791
angles (deg): 139.68 103.53 90.21
Fractional positions:
1 Mo 0.7500 0.2500 0.5000
2 C 0.0022 0.0022 0.0000
3 C 0.4978 0.4978 0.0000
4 W 0.2500 0.7500 0.5000

=====

This record from Alexandria via LeMat-Bulk describes MoWC2 after structural relaxation. The functional is PBE.

Summary:
The calculation puts the total DFT energy (no corrections) at -10.4685 eV/atom. The calculation puts the calculated formation energy at 89.5 meV/atom. The value obtained for the density is 11.954 g/cm3.

a b c (Å): 2.9712 2.9712 5.7803
angles (deg): 75.11 75.11 60.00
Fractional positions:
1 Mo 0.4981 0.4981 0.5057
2 W 0.6676 0.6676 0.9972
3 C 0.0842 0.0842 0.7474
4 C 0.2501 0.2501 0.2498

=====

This record from Alexandria via LeMat-Bulk describes Mo2WC after structural relaxation. The functional is PBE.

Summary:
The calculation puts the total DFT energy (no corrections) at -9.8501 eV/atom. The calculation puts the calculated formation energy at 1109.7 meV/atom. The value obtained for the density is 11.641 g/cm3.

a b c (Å): 3.1302 4.2036 4.2036
angles (deg): 90.00 90.00 90.00
Fractional positions:
1 Mo 0.0000 0.0000 0.0000
2 Mo 0.0000 0.5000 0.5000
3 C 0.5000 0.0000 0.5000
4 W 0.5000 0.5000 0.0000

=====

This record from Alexandria via LeMat-Bulk describes MoW2C after structural relaxation. The functional is PBE.

Summary:
The calculation puts the total DFT energy (no corrections) at -10.1362 eV/atom. The calculation puts the calculated formation energy at 1354.2 meV/atom. The value obtained for the density is 14.046 g/cm3.

a b c (Å): 4.3002 4.3002 4.3002
angles (deg): 60.00 60.00 60.00
Fractional positions:
1 Mo 0.7500 0.7500 0.7500
2 C 0.5000 0.5000 0.5000
3 W 0.0000 0.0000 0.0000
4 W 0.2500 0.2500 0.2500

=====

This record from Alexandria via LeMat-Bulk describes MoW2C after structural relaxation. The functional is PBE.

Summary:
The calculation puts the total DFT energy (no corrections) at -10.2809 eV/atom. The calculation puts the calculated formation energy at 1209.4 meV/atom. The value obtained for the density is 14.084 g/cm3.

a b c (Å): 5.1378 5.1378 5.1378
angles (deg): 139.76 139.76 58.21
Fractional positions:
1 Mo 0.7500 0.2500 0.5000
2 C 0.2500 0.7500 0.5000
3 W 0.0000 0.0000 0.0000
4 W 0.5000 0.5000 0.0000

=====

This record from Alexandria via LeMat-Bulk describes Mo2WC after structural relaxation. The functional is PBE.

Summary:
The calculation puts the total DFT energy (no corrections) at -10.8573 eV/atom. The calculation puts the calculated formation energy at 102.5 meV/atom. The value obtained for the density is 11.813 g/cm3.

a b c (Å): 7.1330 7.1330 7.1330
angles (deg): 24.41 24.41 24.41
Fractional positions:
1 Mo 0.0247 0.0247 0.0247
2 Mo 0.2497 0.2497 0.2497
3 C 0.7501 0.7501 0.7501
4 W 0.4755 0.4755 0.4755

=====

This record from Alexandria via LeMat-Bulk describes MoW2C after structural relaxation. The functional is PBE.

Summary:
The calculation puts the total DFT energy (no corrections) at -10.3232 eV/atom. The calculation puts the calculated formation energy at 1167.1 meV/atom. The value obtained for the density is 14.093 g/cm3.

a b c (Å): 3.1075 4.6012 3.9195
angles (deg): 90.00 90.00 90.00
Fractional positions:
1 Mo 0.0000 0.5000 0.5000
2 C 0.5000 0.0000 0.5000
3 W 0.0000 0.0000 0.0000
4 W 0.5000 0.5000 0.0000

=====

This record from Alexandria via LeMat-Bulk describes MoW2C after structural relaxation. The functional is PBE.

Summary:
The calculation puts the total DFT energy (no corrections) at -10.2460 eV/atom. The calculation puts the calculated formation energy at 1244.4 meV/atom. The value obtained for the density is 13.820 g/cm3.

a b c (Å): 5.0469 4.8720 2.8393
angles (deg): 76.12 84.30 119.27
Fractional positions:
1 Mo 0.5000 0.5000 0.0000
2 C 0.0000 0.5000 0.5000
3 W 0.0000 0.0000 0.0000
4 W 0.5000 0.0000 0.5000

=====

This record from Alexandria via LeMat-Bulk describes MoW2C after structural relaxation. The functional is PBE.

Summary:
The calculation puts the total DFT energy (no corrections) at -11.3588 eV/atom. The calculation puts the calculated formation energy at 131.5 meV/atom. The value obtained for the density is 14.450 g/cm3.

a b c (Å): 7.1251 7.1251 7.1251
angles (deg): 24.49 24.49 24.49
Fractional positions:
1 Mo 0.7500 0.7500 0.7500
2 C 0.2500 0.2500 0.2500
3 W 0.9759 0.9759 0.9759
4 W 0.5241 0.5241 0.5241

=====

This record from Alexandria via LeMat-Bulk describes Mo2WC after structural relaxation. The functional is PBE.

Summary:
The calculation puts the total DFT energy (no corrections) at -10.8711 eV/atom. The calculation puts the calculated formation energy at 88.7 meV/atom. The value obtained for the density is 11.815 g/cm3.

a b c (Å): 7.1996 7.1996 7.1996
angles (deg): 24.06 24.06 24.06
Fractional positions:
1 Mo 0.0253 0.0253 0.0253
2 Mo 0.4747 0.4747 0.4747
3 C 0.7500 0.7500 0.7500
4 W 0.2500 0.2500 0.2500

=====

This record from Alexandria via LeMat-Bulk describes MoW2C after structural relaxation. The functional is PBE.

Summary:
The calculation puts the total DFT energy (no corrections) at -11.0827 eV/atom. The calculation puts the calculated formation energy at 407.6 meV/atom. The value obtained for the density is 14.460 g/cm3.

a b c (Å): 2.8044 2.8044 7.5582
angles (deg): 90.00 90.00 113.24
Fractional positions:
1 Mo 0.5000 0.5000 0.6943
2 C 0.0000 0.0000 0.4999
3 W 0.0000 0.0000 0.0000
4 W 0.5000 0.5000 0.3056

=====

This record from Alexandria via LeMat-Bulk describes MoW2C after structural relaxation. The functional is PBE.

Summary:
The calculation puts the total DFT energy (no corrections) at -11.1302 eV/atom. The calculation puts the calculated formation energy at 360.1 meV/atom. The value obtained for the density is 13.760 g/cm3.

a b c (Å): 7.1366 7.1366 5.5269
angles (deg): 49.79 49.79 90.00
Fractional positions:
1 Mo 0.0000 0.0000 0.0000
2 Mo 0.7500 0.2500 0.5000
3 C 0.5000 0.5000 0.0000
4 C 0.2500 0.7500 0.5000
5 W 0.5126 0.1250 0.2500
6 W 0.2374 0.6250 0.2500
7 W 0.3750 0.4874 0.7500
8 W 0.8750 0.7626 0.7500